A) Be2VH: optimized geometry, GGA-PBE.

Structure (POSCAR):
```
Be2VH
1.0
5.244 0.000 0.000
0.000 5.244 0.000
0.000 0.000 5.244
Be V H
8 4 4
Cartesian
1.311 1.311 1.311
1.311 1.311 3.933
1.311 3.933 1.311
1.311 3.933 3.933
3.933 1.311 1.311
3.933 1.311 3.933
3.933 3.933 1.311
3.933 3.933 3.933
0.000 0.000 0.000
0.000 2.622 2.622
2.622 0.000 2.622
2.622 2.622 0.000
0.000 0.000 2.622
0.000 2.622 0.000
2.622 0.000 0.000
2.622 2.622 2.622
```

Values from the calculation:
Crystal system: cubic
Total moment: 0.00 μB per formula unit

---

B) Be2VH: optimized geometry, GGA-PBE.

Structure (POSCAR):
```
Be2VH
1.0
2.553 0.000 0.000
-1.276 2.211 0.000
0.000 0.000 20.308
Be V H
6 3 3
Cartesian
0.000 0.000 1.412
0.000 0.000 18.895
0.000 1.474 12.126
0.000 1.474 14.951
1.276 0.737 5.357
1.276 0.737 8.182
0.000 0.000 10.154
0.000 1.474 3.385
1.276 0.737 16.923
0.000 0.000 0.000
0.000 1.474 13.538
1.276 0.737 6.769
```

Values from the calculation:
Crystal system: trigonal
Total moment: 0.00 μB per formula unit

---

C) Be2VH: optimized geometry, GGA-PBE.

Structure (POSCAR):
```
Be2VH
1.0
0.000 3.188 3.188
3.188 0.000 3.188
3.188 3.188 0.000
Be V H
4 2 2
Cartesian
0.000 0.000 0.000
1.594 1.594 0.000
1.594 0.000 1.594
0.000 1.594 1.594
2.391 2.391 2.391
3.986 3.986 3.986
0.797 0.797 0.797
5.580 5.580 5.580
```

Values from the calculation:
Crystal system: cubic
Total moment: 0.00 μB per formula unit

---

C) (73 meV/atom below the next structure)

---

A) BeH3W: optimized geometry, GGA-PBE.

Structure (POSCAR):
```
BeH3W
1.0
3.417 0.000 0.000
0.000 3.417 0.000
0.000 0.000 3.417
Be H W
1 3 1
Cartesian
0.000 0.000 0.000
0.000 1.709 1.709
1.709 0.000 1.709
1.709 1.709 0.000
1.709 1.709 1.709
```

Values from the calculation:
Crystal system: cubic
Total moment: 0.00 μB per formula unit

---

B) BeH3W: optimized geometry, GGA-PBE.

Structure (POSCAR):
```
BeH3W
1.0
3.127 0.000 0.000
0.000 3.127 0.000
0.000 0.000 3.127
Be H W
1 3 1
Cartesian
0.000 0.000 0.000
0.000 0.000 1.563
0.000 1.563 0.000
1.563 0.000 0.000
1.563 1.563 1.563
```

Values from the calculation:
Crystal system: cubic
Total moment: 0.00 μB per formula unit

---

B) (38 meV/atom below the next structure)

---

A) Be2HW: optimized geometry, GGA-PBE.

Structure (POSCAR):
```
Be2HW
1.0
5.438 0.000 0.000
0.000 5.438 0.000
0.000 0.000 5.438
Be H W
8 4 4
Cartesian
1.359 1.359 1.359
1.359 1.359 4.078
1.359 4.078 1.359
1.359 4.078 4.078
4.078 1.359 1.359
4.078 1.359 4.078
4.078 4.078 1.359
4.078 4.078 4.078
0.000 0.000 0.000
0.000 2.719 2.719
2.719 0.000 2.719
2.719 2.719 0.000
0.000 0.000 2.719
0.000 2.719 0.000
2.719 0.000 0.000
2.719 2.719 2.719
```

Values from the calculation:
Crystal system: cubic
Total moment: 0.00 μB per formula unit

---

B) Be2HW: optimized geometry, GGA-PBE.

Structure (POSCAR):
```
Be2HW
1.0
0.000 3.252 3.252
3.252 0.000 3.252
3.252 3.252 0.000
Be H W
4 2 2
Cartesian
0.000 0.000 0.000
1.626 1.626 0.000
1.626 0.000 1.626
0.000 1.626 1.626
0.813 0.813 0.813
5.691 5.691 5.691
2.439 2.439 2.439
4.065 4.065 4.065
```

Values from the calculation:
Crystal system: cubic
Total moment: 0.00 μB per formula unit

---

B) (1014 meV/atom below the next structure)

---

A) BeH2W: optimized geometry, GGA-PBE.

Structure (POSCAR):
```
BeH2W
1.0
4.022 0.000 0.000
0.000 4.022 0.000
0.000 0.000 7.847
Be H W
4 8 4
Cartesian
0.000 0.000 0.000
0.000 2.011 1.962
2.011 0.000 5.885
2.011 2.011 3.924
0.809 1.006 0.981
1.006 2.820 2.943
1.006 3.213 6.866
1.202 1.006 4.904
2.820 3.017 4.904
3.017 0.809 6.866
3.017 1.202 2.943
3.213 3.017 0.981
0.000 0.000 3.924
0.000 2.011 5.885
2.011 0.000 1.962
2.011 2.011 0.000
```

Values from the calculation:
Crystal system: tetragonal
Total moment: 0.00 μB per formula unit

---

B) BeH2W: optimized geometry, GGA-PBE.

Structure (POSCAR):
```
BeH2W
1.0
4.864 0.000 0.000
0.000 4.864 0.000
0.000 0.000 4.864
Be H W
4 8 4
Cartesian
0.000 0.000 0.000
0.000 2.432 2.432
2.432 0.000 2.432
2.432 2.432 0.000
1.216 1.216 1.216
1.216 1.216 3.648
1.216 3.648 1.216
1.216 3.648 3.648
3.648 1.216 1.216
3.648 1.216 3.648
3.648 3.648 1.216
3.648 3.648 3.648
0.000 0.000 2.432
0.000 2.432 0.000
2.432 0.000 0.000
2.432 2.432 2.432
```

Values from the calculation:
Crystal system: cubic
Total moment: 0.00 μB per formula unit

---

A) (271 meV/atom below the next structure)

---

A) Y2BeH: optimized geometry, GGA-PBE.

Structure (POSCAR):
```
Y2BeH
1.0
6.673 0.000 0.000
0.000 6.673 0.000
0.000 0.000 6.673
Y Be H
8 4 4
Cartesian
1.668 1.668 1.668
1.668 1.668 5.005
1.668 5.005 1.668
1.668 5.005 5.005
5.005 1.668 1.668
5.005 1.668 5.005
5.005 5.005 1.668
5.005 5.005 5.005
0.000 0.000 0.000
0.000 3.336 3.336
3.336 0.000 3.336
3.336 3.336 0.000
0.000 0.000 3.336
0.000 3.336 0.000
3.336 0.000 0.000
3.336 3.336 3.336
```

Values from the calculation:
Crystal system: cubic
Total moment: 0.00 μB per formula unit

---

B) Y2BeH: optimized geometry, GGA-PBE.

Structure (POSCAR):
```
Y2BeH
1.0
5.340 0.000 0.000
0.000 5.340 0.000
0.000 0.000 12.178
Y Be H
8 4 4
Cartesian
1.054 1.335 1.522
1.335 3.724 4.567
1.335 4.286 10.656
1.616 1.335 7.611
3.724 4.005 7.611
4.005 1.054 10.656
4.005 1.616 4.567
4.286 4.005 1.522
0.000 0.000 6.089
0.000 2.670 9.134
2.670 0.000 3.045
2.670 2.670 0.000
0.000 0.000 0.000
0.000 2.670 3.045
2.670 0.000 9.134
2.670 2.670 6.089
```

Values from the calculation:
Crystal system: tetragonal
Total moment: 0.00 μB per formula unit

---

C) Y2BeH: optimized geometry, GGA-PBE.

Structure (POSCAR):
```
Y2BeH
1.0
3.463 0.000 0.000
-1.731 2.999 0.000
0.000 0.000 25.108
Y Be H
6 3 3
Cartesian
0.000 0.000 2.835
0.000 0.000 22.273
0.000 1.999 13.904
0.000 1.999 19.574
1.731 1.000 5.534
1.731 1.000 11.204
0.000 0.000 0.000
0.000 1.999 16.739
1.731 1.000 8.369
0.000 0.000 12.554
0.000 1.999 4.185
1.731 1.000 20.923
```

Values from the calculation:
Crystal system: trigonal
Total moment: 0.00 μB per formula unit

---

A) (95 meV/atom below the next structure)

---

A) Be2ZnH6: optimized geometry, GGA-PBE.

Structure (POSCAR):
```
Be2ZnH6
1.0
0.000 2.989 2.989
2.989 0.000 2.989
2.989 2.989 0.000
Be Zn H
2 1 6
Cartesian
1.495 1.495 1.495
4.484 4.484 4.484
0.000 0.000 0.000
2.989 2.989 1.743
2.989 1.743 2.989
4.235 2.989 2.989
1.743 2.989 2.989
2.989 4.235 2.989
2.989 2.989 4.235
```

Values from the calculation:
Crystal system: cubic
Total moment: 0.00 μB per formula unit

---

B) Be2ZnH6: optimized geometry, GGA-PBE.

Structure (POSCAR):
```
Be2ZnH6
1.0
4.571 -4.695 0.000
4.571 4.695 0.000
-1.824 0.000 3.658
Be Zn H
4 2 12
Cartesian
1.628 0.712 1.287
0.716 -0.712 3.116
6.603 0.712 0.542
5.691 -0.712 2.371
3.203 2.332 2.743
4.115 -2.332 0.914
1.943 3.252 3.308
0.970 0.589 2.563
2.895 1.397 1.405
4.464 3.252 2.179
1.882 -0.589 0.735
5.336 1.397 0.423
1.983 -1.397 3.234
5.437 0.589 2.923
2.855 -3.252 1.479
4.424 -1.397 2.252
6.349 -0.589 1.094
5.376 -3.252 0.350
```

Values from the calculation:
Crystal system: monoclinic
Total moment: 0.00 μB per formula unit

---

B) (791 meV/atom below the next structure)

---

A) BeZn2H: optimized geometry, GGA-PBE.

Structure (POSCAR):
```
BeZn2H
1.0
5.580 0.000 0.000
0.000 5.580 0.000
0.000 0.000 5.935
Be Zn H
4 8 4
Cartesian
0.000 0.000 0.000
0.000 2.790 1.484
2.790 0.000 4.451
2.790 2.790 2.967
1.032 4.185 3.709
1.395 1.032 2.225
1.395 1.758 5.193
1.758 4.185 0.742
3.822 1.395 0.742
4.185 3.822 5.193
4.185 4.548 2.225
4.548 1.395 3.709
0.000 0.000 2.967
0.000 2.790 4.451
2.790 0.000 1.484
2.790 2.790 0.000
```

Values from the calculation:
Crystal system: tetragonal
Total moment: 0.00 μB per formula unit

---

B) BeZn2H: optimized geometry, GGA-PBE.

Structure (POSCAR):
```
BeZn2H
1.0
5.576 0.000 0.000
0.000 5.576 0.000
0.000 0.000 5.576
Be Zn H
4 8 4
Cartesian
0.000 0.000 0.000
0.000 2.788 2.788
2.788 0.000 2.788
2.788 2.788 0.000
1.394 1.394 1.394
1.394 1.394 4.182
1.394 4.182 1.394
1.394 4.182 4.182
4.182 1.394 1.394
4.182 1.394 4.182
4.182 4.182 1.394
4.182 4.182 4.182
0.000 0.000 2.788
0.000 2.788 0.000
2.788 0.000 0.000
2.788 2.788 2.788
```

Values from the calculation:
Crystal system: cubic
Total moment: 0.00 μB per formula unit

---

A) (112 meV/atom below the next structure)

---

A) Be2ZnH: optimized geometry, GGA-PBE.

Structure (POSCAR):
```
Be2ZnH
1.0
4.286 0.000 0.000
0.000 4.286 0.000
0.000 0.000 8.203
Be Zn H
8 4 4
Cartesian
0.000 0.000 0.000
0.000 2.143 0.000
1.071 1.071 6.152
1.071 3.214 2.051
2.143 0.000 4.102
2.143 2.143 4.102
3.214 1.071 6.152
3.214 3.214 2.051
0.000 1.071 3.076
0.000 3.214 5.127
2.143 1.071 1.025
2.143 3.214 7.178
0.000 1.071 7.178
0.000 3.214 1.025
2.143 1.071 5.127
2.143 3.214 3.076
```

Values from the calculation:
Crystal system: tetragonal
Total moment: 0.00 μB per formula unit

---

B) Be2ZnH: optimized geometry, GGA-PBE.

Structure (POSCAR):
```
Be2ZnH
1.0
5.306 0.000 0.000
0.000 5.306 0.000
0.000 0.000 5.306
Be Zn H
8 4 4
Cartesian
1.327 1.327 1.327
1.327 1.327 3.980
1.327 3.980 1.327
1.327 3.980 3.980
3.980 1.327 1.327
3.980 1.327 3.980
3.980 3.980 1.327
3.980 3.980 3.980
0.000 0.000 0.000
0.000 2.653 2.653
2.653 0.000 2.653
2.653 2.653 0.000
0.000 0.000 2.653
0.000 2.653 0.000
2.653 0.000 0.000
2.653 2.653 2.653
```

Values from the calculation:
Crystal system: cubic
Total moment: 0.00 μB per formula unit

---

A) (323 meV/atom below the next structure)

---

A) Zr2BeH: optimized geometry, GGA-PBE.

Structure (POSCAR):
```
Zr2BeH
1.0
4.641 0.000 0.000
0.000 4.641 0.000
0.000 0.000 12.264
Zr Be H
8 4 4
Cartesian
0.961 1.160 1.533
1.160 3.282 4.599
1.160 3.680 10.731
1.360 1.160 7.665
3.282 3.481 7.665
3.481 0.961 10.731
3.481 1.360 4.599
3.680 3.481 1.533
0.000 0.000 6.132
0.000 2.321 9.198
2.321 0.000 3.066
2.321 2.321 0.000
0.000 0.000 0.000
0.000 2.321 3.066
2.321 0.000 9.198
2.321 2.321 6.132
```

Values from the calculation:
Crystal system: tetragonal
Total moment: 0.00 μB per formula unit

---

B) Zr2BeH: optimized geometry, GGA-PBE.

Structure (POSCAR):
```
Zr2BeH
1.0
6.132 0.000 0.000
0.000 6.132 0.000
0.000 0.000 6.132
Zr Be H
8 4 4
Cartesian
1.533 1.533 1.533
1.533 1.533 4.599
1.533 4.599 1.533
1.533 4.599 4.599
4.599 1.533 1.533
4.599 1.533 4.599
4.599 4.599 1.533
4.599 4.599 4.599
0.000 0.000 0.000
0.000 3.066 3.066
3.066 0.000 3.066
3.066 3.066 0.000
0.000 0.000 3.066
0.000 3.066 0.000
3.066 0.000 0.000
3.066 3.066 3.066
```

Values from the calculation:
Crystal system: cubic
Total moment: 0.00 μB per formula unit

---

C) Zr2BeH: optimized geometry, GGA-PBE.

Structure (POSCAR):
```
Zr2BeH
1.0
3.494 0.000 0.000
-1.747 3.026 0.000
0.000 0.000 16.719
Zr Be H
6 3 3
Cartesian
0.000 0.000 4.036
0.000 0.000 12.683
0.000 2.017 7.110
0.000 2.017 15.183
1.747 1.009 1.537
1.747 1.009 9.609
0.000 0.000 0.000
0.000 2.017 11.146
1.747 1.009 5.573
0.000 0.000 8.360
0.000 2.017 2.787
1.747 1.009 13.933
```

Values from the calculation:
Crystal system: trigonal
Total moment: 0.00 μB per formula unit

---

C) (130 meV/atom below the next structure)

---

A) Zr2Be2H: optimized geometry, GGA-PBE.

Structure (POSCAR):
```
Zr2Be2H
1.0
5.013 0.000 0.000
0.000 5.013 0.000
0.000 0.000 5.764
Zr Be H
4 4 2
Cartesian
0.000 2.506 1.441
0.000 2.506 4.323
2.506 0.000 1.441
2.506 0.000 4.323
0.000 0.000 0.983
0.000 0.000 4.781
2.506 2.506 1.899
2.506 2.506 3.865
0.000 0.000 2.882
2.506 2.506 0.000
```

Values from the calculation:
Crystal system: tetragonal
Total moment: 0.00 μB per formula unit

---

B) Zr2Be2H: optimized geometry, GGA-PBE.

Structure (POSCAR):
```
Zr2Be2H
1.0
7.139 0.000 0.000
0.000 7.139 0.000
0.000 0.000 2.929
Zr Be H
4 4 2
Cartesian
1.332 2.238 0.000
2.238 5.807 0.000
4.902 1.332 0.000
5.807 4.902 0.000
0.721 4.290 1.465
2.849 0.721 1.465
4.290 6.419 1.465
6.419 2.849 1.465
0.000 0.000 1.465
3.570 3.570 1.465
```

Values from the calculation:
Crystal system: tetragonal
Total moment: 0.00 μB per formula unit

---

B) (174 meV/atom below the next structure)

---

A) ZrBe2H: optimized geometry, GGA-PBE.

Structure (POSCAR):
```
ZrBe2H
1.0
5.752 0.000 0.000
0.000 5.752 0.000
0.000 0.000 5.752
Zr Be H
4 8 4
Cartesian
0.000 0.000 0.000
0.000 2.876 2.876
2.876 0.000 2.876
2.876 2.876 0.000
1.438 1.438 1.438
1.438 1.438 4.314
1.438 4.314 1.438
1.438 4.314 4.314
4.314 1.438 1.438
4.314 1.438 4.314
4.314 4.314 1.438
4.314 4.314 4.314
0.000 0.000 2.876
0.000 2.876 0.000
2.876 0.000 0.000
2.876 2.876 2.876
```

Values from the calculation:
Crystal system: cubic
Total moment: 0.00 μB per formula unit

---

B) ZrBe2H: optimized geometry, GGA-PBE.

Structure (POSCAR):
```
ZrBe2H
1.0
0.000 3.497 3.497
3.497 0.000 3.497
3.497 3.497 0.000
Zr Be H
2 4 2
Cartesian
0.874 0.874 0.874
6.120 6.120 6.120
3.497 1.749 1.749
1.749 3.497 1.749
1.749 1.749 3.497
3.497 3.497 3.497
2.623 2.623 2.623
4.372 4.372 4.372
```

Values from the calculation:
Crystal system: cubic
Total moment: 0.68 μB per formula unit

---

B) (679 meV/atom below the next structure)

---

A) ZrBeH3: optimized geometry, GGA-PBE.

Structure (POSCAR):
```
ZrBeH3
1.0
3.738 0.000 0.000
0.000 3.738 0.000
0.000 0.000 3.738
Zr Be H
1 1 3
Cartesian
0.000 0.000 0.000
1.869 1.869 1.869
0.000 0.000 1.869
0.000 1.869 0.000
1.869 0.000 0.000
```

Values from the calculation:
Crystal system: cubic
Total moment: 0.00 μB per formula unit

---

B) ZrBeH3: optimized geometry, GGA-PBE.

Structure (POSCAR):
```
ZrBeH3
1.0
3.316 0.000 0.000
0.000 3.316 0.000
0.000 0.000 3.316
Zr Be H
1 1 3
Cartesian
0.000 0.000 0.000
1.658 1.658 1.658
0.000 1.658 1.658
1.658 0.000 1.658
1.658 1.658 0.000
```

Values from the calculation:
Crystal system: cubic
Total moment: 0.00 μB per formula unit

---

B) (302 meV/atom below the next structure)